YCdHg2 | the Open Quantum Materials Database | PBE-GGA | relaxed; size of the total moment = 0.000 μB per cell; formation energy = -0.38 eV/atom
1.0
5.103 0.000 0.000
0.000 5.103 0.000
0.000 0.000 7.183
Y Cd Hg
2 2 4
Direct
0.000 0.000 0.000
0.500 0.500 0.500
0.000 0.000 0.500
0.500 0.500 0.000
0.000 0.500 0.250
0.000 0.500 0.750
0.500 0.000 0.250
0.500 0.000 0.750

Hf4GaAuN2 | the Open Quantum Materials Database | PBE-GGA | relaxed; size of the total moment = 0.001 μB per cell; calculated total energy = -71.78 eV per formula unit
1.0
3.234 0.000 0.000
-1.617 2.800 0.000
0.000 0.000 13.900
Hf Ga Au N
4 1 1 2
Direct
0.000 0.000 0.158
0.000 0.000 0.842
0.333 0.667 0.338
0.333 0.667 0.662
0.333 0.667 0.000
0.000 0.000 0.500
0.667 0.333 0.249
0.667 0.333 0.751

ZnAgTeO | the Open Quantum Materials Database | PBE-GGA | relaxed; E above lowest polymorph = 563 meV per atom
1.0
4.139 0.000 0.000
0.000 4.139 0.000
0.000 0.000 9.094
Zn Ag Te O
2 2 2 2
Direct
0.250 0.250 0.124
0.750 0.750 0.876
0.250 0.250 0.436
0.750 0.750 0.564
0.250 0.250 0.830
0.750 0.750 0.170
0.250 0.750 0.500
0.750 0.250 0.500

RbNi3P5 | the Open Quantum Materials Database | PBE-GGA | relaxed; size of the total moment = 0.289 μB per cell; calculated total energy = -45.91 eV per formula unit
1.0
4.898 0.000 0.000
-2.449 4.242 0.000
0.000 0.000 8.270
Rb Ni P
1 3 5
Direct
0.000 0.000 0.000
0.000 0.500 0.500
0.500 0.000 0.500
0.500 0.500 0.500
0.000 0.000 0.500
0.333 0.667 0.280
0.333 0.667 0.720
0.667 0.333 0.280
0.667 0.333 0.720

TaHgAsO | the Open Quantum Materials Database | PBE-GGA | relaxed; size of the total moment = 0.177 μB per cell; E above lowest polymorph = 942 meV per atom
1.0
4.279 0.000 0.000
0.000 4.279 0.000
0.000 0.000 7.756
Ta Hg As O
2 2 2 2
Direct
0.250 0.750 0.000
0.750 0.250 0.000
0.250 0.250 0.375
0.750 0.750 0.625
0.250 0.250 0.811
0.750 0.750 0.189
0.250 0.750 0.500
0.750 0.250 0.500

NbBNO | the Open Quantum Materials Database | PBE-GGA | relaxed; size of the total moment = 1.209 μB per cell; E above lowest polymorph = 804 meV per atom
1.0
3.466 0.000 0.000
0.000 3.466 0.000
0.000 0.000 6.420
Nb B N O
2 2 2 2
Direct
0.250 0.250 0.197
0.750 0.750 0.803
0.250 0.750 0.500
0.750 0.250 0.500
0.250 0.250 0.510
0.750 0.750 0.490
0.250 0.750 0.000
0.750 0.250 0.000

What did the third record say?
ZnAgTeO | the Open Quantum Materials Database | PBE-GGA | relaxed; E above lowest polymorph = 563 meV per atom
1.0
4.139 0.000 0.000
0.000 4.139 0.000
0.000 0.000 9.094
Zn Ag Te O
2 2 2 2
Direct
0.250 0.250 0.124
0.750 0.750 0.876
0.250 0.250 0.436
0.750 0.750 0.564
0.250 0.250 0.830
0.750 0.750 0.170
0.250 0.750 0.500
0.750 0.250 0.500